Crystalline Hf5Ge2H at its relaxed geometry, computed with GGA-PBE.

extended XYZ file:
```
8
Lattice="6.309 -0.007 0.002 -0.007 6.309 0.002 -3.150 -3.150 3.760" Properties=species:S:1:pos:R:3 pbc="T T T"
Hf 4.713 4.712 0.004
Hf 1.586 4.716 0.003
Hf 3.153 3.152 1.899
Hf 4.716 1.586 0.003
Hf 1.589 1.589 0.001
Ge 3.155 -0.003 1.871
Ge -0.003 3.155 1.871
H 0.000 0.000 0.204
```

Calculated values
M_tot in μB/f.u.: 0.00
Electronic total energy in eV/atom: -8.02
Symmetry: Fmm2 (42)